Record 1
Crystalline Ba2CdIn6 at its relaxed geometry, computed with GGA-PBE.

Cell: 12.018 6.914 6.994 Å, 90.00 106.66 90.00°
Space group C2/m (No. 12)
Inequivalent atoms, fractional coordinates:
Ba 0.147 0.000 0.349
Cd 0.000 0.500 0.500
In 0.120 0.500 0.169
In 0.136 0.223 0.833

## Properties
energy	-2.673	eV per atom

---

Record 2
Crystalline Tm6US8 at its relaxed geometry, computed with GGA-PBE.

Cell: 10.861 10.861 10.861 Å, 90.00 90.00 90.00°
Space group Fm-3m (No. 225)
Inequivalent atoms, fractional coordinates:
Tm 0.000 0.250 0.250
U 0.000 0.000 0.000
S 0.000 0.000 0.255
S 0.250 0.250 0.250

## Properties
energy	-6.617	eV per atom
formation energy (no corrections)	-1.874	eV per atom

---

Record 3
Crystalline ZrC at its relaxed geometry, computed with GGA-PBE.

Cell: 3.2918 3.2918 17.4636 Å, 90.00 90.00 120.00°
Space group R-3m (No. 166, hexagonal axes)
Inequivalent atoms, fractional coordinates:
Zr 0.0000 0.0000 0.0857
C 0.0000 0.0000 0.3346

## Properties
energy	-8.538	eV per atom

---

Record 4
Crystalline Na5PS4I2 at its relaxed geometry, computed with GGA-PBE.

Cell: 8.757 10.891 7.130 Å, 90.00 90.00 90.00°
Space group Amm2 (No. 38)
Inequivalent atoms, fractional coordinates:
Na 0.000 0.000 0.000
Na 0.286 0.189 0.432
P 0.500 0.000 0.957
S 0.310 0.000 0.130
S 0.500 0.152 0.780
I 0.000 0.188 0.680

## Properties
energy	-3.581	eV per atom
formation energy (no corrections)	-0.947	eV per atom

---

Record 5
Crystalline MnZn4Fe at its relaxed geometry, computed with GGA-PBE.

Cell: 3.764 3.776 11.488 Å, 90.00 90.00 90.00°
Space group Cmmm (No. 65)
Inequivalent atoms, fractional coordinates:
Mn 0.000 0.000 0.000
Zn 0.000 0.000 0.340
Zn 0.000 0.500 0.162
Fe 0.000 0.500 0.500

## Properties
energy	-3.767	eV per atom

---

Record 6
Crystalline Na2Cd9Au6 at its relaxed geometry, computed with GGA-PBE.

Cell: 5.9988 5.9988 13.6301 Å, 90.00 90.00 120.00°
Space group P6/mmm (No. 191)
Inequivalent atoms, fractional coordinates:
Na 0.0000 0.0000 0.1660
Cd 0.0000 0.5000 0.0000
Cd 0.0000 0.5000 0.3357
Au 0.3333 0.6667 0.1681
Au 0.3333 0.6667 0.5000

## Properties
energy	-1.917	eV per atom

---

Record 7
Crystalline Rb2CuS3 at its relaxed geometry, computed with GGA-PBE.

Cell: 6.6621 6.6621 11.5955 Å, 90.00 90.00 120.00°
Space group P-3m1 (No. 164)
Inequivalent atoms, fractional coordinates:
Rb 0.0000 0.0000 0.0000
Rb 0.0000 0.0000 0.5000
Rb 0.3333 0.6667 0.2490
Cu 0.3333 0.6667 0.7500
S 0.1472 0.2944 0.7501

## Properties
energy	-3.509	eV per atom
formation energy (no corrections)	-0.440	eV per atom

---

Record 8
Crystalline PmHgPt at its relaxed geometry, computed with GGA-PBE.

Cell: 4.7501 4.7501 3.6002 Å, 90.00 90.00 120.00°
Space group P-6m2 (No. 187)
Inequivalent atoms, fractional coordinates:
Pm 0.0000 0.0000 0.0000
Hg 0.6667 0.3333 0.5000
Pt 0.3333 0.6667 0.5000

## Properties
energy	-4.379	eV per atom

---

Please write out number 1 again, unchanged.
Crystalline Ba2CdIn6 at its relaxed geometry, computed with GGA-PBE.

Cell: 12.018 6.914 6.994 Å, 90.00 106.66 90.00°
Space group C2/m (No. 12)
Inequivalent atoms, fractional coordinates:
Ba 0.147 0.000 0.349
Cd 0.000 0.500 0.500
In 0.120 0.500 0.169
In 0.136 0.223 0.833

## Properties
energy	-2.673	eV per atom

---

Which of these has the highest energy?
Na2Cd9Au6

---

Repeat the seventh record exactly.
Crystalline Rb2CuS3 at its relaxed geometry, computed with GGA-PBE.

Cell: 6.6621 6.6621 11.5955 Å, 90.00 90.00 120.00°
Space group P-3m1 (No. 164)
Inequivalent atoms, fractional coordinates:
Rb 0.0000 0.0000 0.0000
Rb 0.0000 0.0000 0.5000
Rb 0.3333 0.6667 0.2490
Cu 0.3333 0.6667 0.7500
S 0.1472 0.2944 0.7501

## Properties
energy	-3.509	eV per atom
formation energy (no corrections)	-0.440	eV per atom